Record 1
Here is a relaxed HgWSe crystal from Alexandria. Energies are from PBE.

## Properties
Formation energy from raw total energies: 0.984 eV per formula unit
E above lowest polymorph: 165 meV per atom

Cell lengths 6.828, 6.828, 6.828 Å; angles 153.86, 153.86, 37.30 degrees
Sites, in units of the cell vectors:
Hg: 0.026 0.026 0.000
Se: 0.292 0.292 0.000
W: 0.681 0.681 0.000

Record 2
Here is a relaxed CdS2N2 crystal from Alexandria. Energies are from PBE.

## Properties
Formation energy from raw total energies: 11.991 eV per formula unit
E above lowest polymorph: 1177 meV per atom

Cell lengths 5.253, 5.253, 4.492 Å; angles 90.00, 90.00, 90.00 degrees
Each line ends with the local moment (μB).
Sites, in units of the cell vectors:
S: 0.500 0.000 0.000  0.84
N: 0.500 0.500 0.500  1.89
N: 0.000 0.000 0.500  1.41
S: 0.000 0.500 0.000  0.84
Cd: 0.000 0.000 0.000  0.05

Record 3
Here is a relaxed NdCo3C crystal from Alexandria. Energies are from PBE.

## Properties
Formation enthalpy at 0 K: 0.635 eV/atom

Cell lengths 4.540, 4.540, 5.853 Å; angles 67.18, 67.18, 60.00 degrees
Each line ends with the local moment (μB).
Sites, in units of the cell vectors:
Co: 0.824 0.329 0.023  0.91
Co: 0.824 0.824 0.023  0.91
Nd: 0.821 0.821 0.537  -0.06
C: 0.078 0.078 0.767  -0.03
Co: 0.329 0.824 0.023  0.91

Record 4
Here is a relaxed ScInFeCo crystal from Alexandria. Energies are from PBE.

## Properties
Formation enthalpy at 0 K: -0.057 eV/atom

Cell lengths 4.411, 4.411, 4.411 Å; angles 60.00, 60.00, 60.00 degrees
Each line ends with the local moment (μB).
Sites, in units of the cell vectors:
In: 0.500 0.500 0.500  -0.04
Sc: 0.000 0.000 0.000  -0.14
Co: 0.750 0.750 0.750  0.04
Fe: 0.250 0.250 0.250  1.16

Record 5
Here is a relaxed Li2MnSe crystal from Alexandria. Energies are from PBE.

## Properties
Formation energy from raw total energies: -1.024 eV per formula unit

Cell lengths 3.574, 3.743, 6.225 Å; angles 72.48, 90.00, 90.00 degrees
Each line ends with the local moment (μB).
Sites, in units of the cell vectors:
Li: 0.500 0.317 0.240  0.00
Se: 0.500 0.530 0.816  0.09
Li: 0.000 0.969 0.937  0.01
Mn: 0.000 0.684 0.508  4.18

Record 6
Here is a relaxed FeC4 crystal from Alexandria. Energies are from PBE.

## Properties
Formation enthalpy at 0 K: 0.928 eV/atom
E above lowest polymorph: 389 meV per atom

Cell lengths 4.775, 4.775, 4.775 Å; angles 93.96, 93.96, 149.55 degrees
Each line ends with the local moment (μB).
Sites, in units of the cell vectors:
Fe: 0.000 0.000 0.000  2.02
C: 0.219 0.781 0.000  0.02
C: 0.781 0.781 0.561  0.02
C: 0.781 0.219 0.000  0.02
C: 0.219 0.219 0.439  0.02

Copy entry 2 word for word.
Here is a relaxed CdS2N2 crystal from Alexandria. Energies are from PBE.

## Properties
Formation energy from raw total energies: 11.991 eV per formula unit
E above lowest polymorph: 1177 meV per atom

Cell lengths 5.253, 5.253, 4.492 Å; angles 90.00, 90.00, 90.00 degrees
Each line ends with the local moment (μB).
Sites, in units of the cell vectors:
S: 0.500 0.000 0.000  0.84
N: 0.500 0.500 0.500  1.89
N: 0.000 0.000 0.500  1.41
S: 0.000 0.500 0.000  0.84
Cd: 0.000 0.000 0.000  0.05

- Number 3 is which compound?
  NdCo3C

Please write out number 4 again, unchanged.
Here is a relaxed ScInFeCo crystal from Alexandria. Energies are from PBE.

## Properties
Formation enthalpy at 0 K: -0.057 eV/atom

Cell lengths 4.411, 4.411, 4.411 Å; angles 60.00, 60.00, 60.00 degrees
Each line ends with the local moment (μB).
Sites, in units of the cell vectors:
In: 0.500 0.500 0.500  -0.04
Sc: 0.000 0.000 0.000  -0.14
Co: 0.750 0.750 0.750  0.04
Fe: 0.250 0.250 0.250  1.16